No. 1
PBE LiMn2Fe, optimized geometry; electronic total energy = -6.88 eV/atom; volume = 10.98 Å³/atom; E above lowest polymorph = 72.0 meV per atom; DOS at the Fermi energy = 1.0017 states/eV per atom; energy of formation = 0.29 eV per atom
1.0
4.6665 -0.0003 -0.0010
-2.1045 4.2531 -0.0007
0.4576 0.6218 2.2129
Fe Li Mn
1 1 2
Direct
0.0000 0.5000 0.5000 Fe
0.5000 0.5000 0.0000 Li
0.0000 0.0000 0.0000 Mn
0.5000 0.0000 0.5000 Mn

***

No. 2
PBE Li3CeY2Te6, optimized geometry; electronic total energy = -4.90 eV/atom; formation energy without anion corrections = -1275 meV per atom; volume = 29.49 Å³/atom; DOS at the Fermi energy = 0.7128 states/eV per atom
1.0
7.6057 -0.0018 0.0012
-3.8026 6.5869 0.0012
-1.2672 -2.1941 7.0641
Li Ce Y Te
3 1 2 6
Direct
0.1674 0.8326 0.5000 Li
0.8326 0.1674 0.5000 Li
0.5000 0.5000 0.5000 Li
0.0000 0.0000 0.0000 Ce
0.3334 0.6666 0.0000 Y
0.6666 0.3334 0.0000 Y
0.9143 0.5731 0.7423 Te
0.7451 0.7451 0.2588 Te
0.0857 0.4269 0.2577 Te
0.5731 0.9143 0.7423 Te
0.2549 0.2549 0.7412 Te
0.4269 0.0857 0.2577 Te

***

No. 3
PBE ZrMo2Ir, optimized geometry; electronic total energy = -9.64 eV/atom; volume = 16.99 Å³/atom; E above lowest polymorph = 329.2 meV per atom; DOS at the Fermi energy = 0.5401 states/eV per atom; energy of formation = 0.13 eV per atom
1.0
9.8019 -0.0251 -0.0147
9.3948 2.7955 -0.0147
9.3948 1.3558 2.4447
Ir Mo Zr
1 2 1
Direct
0.7441 0.7441 0.7441 Ir
0.0043 0.0043 0.0043 Mo
0.2547 0.2547 0.2547 Mo
0.4969 0.4969 0.4969 Zr

***

No. 4
PBE La4Nd3Ni2, optimized geometry; electronic total energy = -5.14 eV/atom; volume = 31.45 Å³/atom; DOS at the Fermi energy = 1.2830 states/eV per atom; energy of formation = -0.08 eV per atom
1.0
-4.5257 1.3211 -2.5640
-4.7005 2.2829 3.8639
-1.2378 10.3028 1.8662
La Nd Ni
4 3 2
Direct
0.2829 0.2859 0.1475 La
0.7171 0.7141 0.8525 La
0.1403 0.1568 0.5642 La
0.8597 0.8432 0.4358 La
0.4269 0.3815 0.7655 Nd
0.0000 0.0000 0.0000 Nd
0.5731 0.6185 0.2345 Nd
0.3930 0.7519 0.4597 Ni
0.6070 0.2481 0.5403 Ni